An optimized crystal structure of Na4LiCr3O8. Source: the Alexandria database, functional GGA+U.

The structure belongs to space group C2/m (No. 12); the cell edges are 10.454, 6.013 and 6.358 Å and the angles 90.00°, 122.95° and 90.00°. The distinct sites, in fractional coordinates, are Na at (0.000, 0.000, 0.000), Na at (0.000, 0.500, 0.000), Na at (0.250, 0.250, 0.000), Li at (0.000, 0.000, 0.500), Cr at (0.000, 0.500, 0.500), Cr at (0.250, 0.250, 0.500), O at (0.021, 0.269, 0.306), O at (0.234, 0.500, 0.705) and O at (0.243, 0.000, 0.694).

As for the total energy: -0.22405 hartree per atom. The value obtained for the total magnetization is 0.438 μB/atom.